# MnAlW, relaxed, DFT PBE
# - E (eV per formula unit) = -24.59
# - offset from the most stable computed form (eV per atom) = 0.564
# - ΔH_f (0 K) (meV per atom) = 426
data_MnAlW
_chemical_formula_sum 'Mn1 Al1 W1'
_cell_length_a 2.898
_cell_length_b 3.958
_cell_length_c 4.173
_cell_angle_alpha 90.00
_cell_angle_beta 90.00
_cell_angle_gamma 90.00
_symmetry_space_group_name_H-M 'P m m m'
_symmetry_Int_Tables_number 47
loop_
_symmetry_equiv_pos_as_xyz
'x,y,z'
'-x,-y,-z'
'-x,-y,z'
'x,y,-z'
'x,-y,-z'
'-x,y,z'
'-x,y,-z'
'x,-y,z'
loop_
_atom_site_label
_atom_site_fract_x
_atom_site_fract_y
_atom_site_fract_z
Mn1 0.000 0.000 0.000
Al1 0.500 0.000 0.500
W1 0.500 0.500 0.000